CaEuDyHo | PBE | optimized geometry

```
16
Lattice="8.260 0.000 0.000 0.000 8.260 0.000 0.000 0.000 8.260" Properties=species:S:1:pos:R:3 pbc="T T T"
Ca 0.000 0.000 0.000
Ca 0.000 4.130 4.130
Ca 4.130 0.000 4.130
Ca 4.130 4.130 0.000
Eu 2.065 2.065 2.065
Eu 2.065 6.195 6.195
Eu 6.195 2.065 6.195
Eu 6.195 6.195 2.065
Dy 2.065 2.065 6.195
Dy 2.065 6.195 2.065
Dy 6.195 2.065 2.065
Dy 6.195 6.195 6.195
Ho 0.000 0.000 4.130
Ho 0.000 4.130 0.000
Ho 4.130 0.000 0.000
Ho 4.130 4.130 4.130
```

* space group: F-43m
* formation enthalpy at 0 K: 0.155 eV/atom
* DFT total energy: -5.21 eV/atom